No. 1
VASP calculation (GGA-PBEsol) on a relaxed Cs2CdPbC crystal.

POSCAR file:
```
Cs2CdPbC
1.0
4.4101 0.0000 0.0000
0.0000 7.2521 0.0000
0.0000 0.0000 7.2521
Pb Cs C Cd
1 2 1 1
direct
0.0000 0.0000 0.0000
0.0000 0.0000 0.5000
0.0000 0.5000 0.0000
0.5000 0.0000 0.0000
0.5000 0.5000 0.5000
```

Results
The calculated total energy is -2.39 eV/atom. Its calculated volume is 231.94 Å³ per cell. The density of states at the Fermi level comes out at 0.65 states/eV/atom. For the mass density, the calculation gives 4.28 Mg/m³. The size of the total moment is 0.00 μB/f.u. As for the symmetry: P4/mmm. For the calculated formation energy, the calculation gives 0.955 eV/atom.



No. 2
VASP calculation (GGA-PBEsol) on a relaxed SmSbIr crystal.

POSCAR file:
```
SmSbIr
1.0
4.5228 0.0000 0.0000
0.0000 7.2121 0.0000
0.0000 0.0000 7.8683
Sm Sb Ir
4 4 4
direct
0.2500 0.5122 0.8075
0.7500 0.9878 0.3075
0.2500 0.0122 0.6925
0.7500 0.4878 0.1925
0.7500 0.3227 0.5870
0.7500 0.8227 0.9130
0.2500 0.6773 0.4130
0.2500 0.1773 0.0870
0.7500 0.2052 0.9109
0.7500 0.7052 0.5891
0.2500 0.2948 0.4109
0.2500 0.7948 0.0891
```

Results
The calculated total energy is -7.39 eV/atom. Its calculated volume is 256.65 Å³ per cell. The density of states at the Fermi level comes out at 0.52 states/eV/atom. For the mass density, the calculation gives 12.02 Mg/m³. The size of the total moment is 0.00 μB/f.u. As for the symmetry: Pnma.



No. 3
VASP calculation (GGA-PBEsol) on a relaxed SiSbW crystal.

POSCAR file:
```
SiSbW
1.0
3.3515 0.0000 0.0000
0.0000 3.3515 0.0000
-1.6758 -1.6758 4.5027
Sb Si W
1 1 1
direct
0.9988 0.9988 0.9976
0.6894 0.6894 0.3789
0.3118 0.3118 0.6235
```

Results
The calculated total energy is -7.81 eV/atom. Its calculated volume is 50.58 Å³ per cell. The density of states at the Fermi level comes out at 0.42 states/eV/atom. For the mass density, the calculation gives 10.96 Mg/m³. The size of the total moment is 0.00 μB/f.u. As for the symmetry: I4mm.



No. 4
VASP calculation (GGA-PBEsol) on a relaxed CaEr2Ge4O12 crystal.

POSCAR file:
```
CaEr2Ge4O12
1.0
-3.8060 -3.1683 0.9612
5.4226 -4.3627 7.0914
-3.6280 6.3879 6.6902
Ca Er Ge O
2 4 8 24
direct
0.5000 0.5000 0.0000
0.5000 0.0000 0.5000
0.5000 0.5000 0.5000
0.5000 0.0000 0.0000
0.5000 0.2500 0.2500
0.5000 0.7500 0.7500
0.9957 0.9811 0.2499
0.0043 0.0189 0.7501
0.0043 0.4811 0.7499
0.9957 0.5189 0.2501
0.0043 0.2501 0.5189
0.9957 0.7499 0.4811
0.9957 0.7501 0.0189
0.0043 0.2499 0.9811
0.2543 0.3244 0.0720
0.2609 0.6711 0.5596
0.2609 0.8289 0.9404
0.2543 0.1756 0.4280
0.7457 0.6756 0.9280
0.7391 0.3289 0.4404
0.7391 0.1711 0.0596
0.7457 0.8244 0.5720
0.7457 0.4280 0.1756
0.7391 0.9404 0.8289
0.7391 0.5596 0.6711
0.7457 0.0720 0.3244
0.2543 0.5720 0.8244
0.2609 0.0596 0.1711
0.2609 0.4404 0.3289
0.2543 0.9280 0.6756
0.1492 0.8695 0.3695
0.1705 0.1223 0.8777
0.1705 0.3777 0.6223
0.1492 0.6305 0.1305
0.8508 0.1305 0.6305
0.8295 0.8777 0.1223
0.8295 0.6223 0.3777
0.8508 0.3695 0.8695
```

Results
The calculated total energy is -7.43 eV/atom. Its calculated volume is 498.03 Å³ per cell. The density of states at the Fermi level comes out at 0.00 states/eV/atom. For the mass density, the calculation gives 5.72 Mg/m³. The size of the total moment is 0.00 μB/f.u. As for the symmetry: Cmme.